CaPOsO2 (GGA-PBE, optimized geometry); E_tot = -0.2416 hartree per atom; formation energy without anion corrections = -862 meV/atom; size of the total moment = 1.07 μB per formula unit; relative energy among the computed polymorphs = 0 meV per atom
1.0
-3.418 0.234 1.870
-1.244 -3.189 -1.875
1.833 -2.898 3.712
P Ca Os O
1 1 1 2
Cartesian
0.916 -1.449 1.856 P
-1.415 -2.927 1.853 Ca
0.000 0.000 0.000 Os
-0.622 -1.595 -0.938 O
-1.709 0.117 0.935 O